No. 1
Computed, not measured: a geometry-optimized LiB2C2 structure at the PBE level of DFT.

a b c (Å): 14.951 4.730 5.345
angles (deg): 90.00 100.71 90.00
Space group C2 (No. 5)
Symmetry-distinct sites (fractional):
Li  0.124  0.000  0.035
Li  0.125  0.498  0.334
B  0.000  0.331  0.500
B  0.000  0.336  0.000
B  0.002  0.835  0.254
B  0.248  0.664  0.124
B  0.249  0.164  0.374
C  0.000  0.659  0.500
C  0.000  0.665  0.000
C  0.004  0.162  0.251
C  0.246  0.336  0.123
C  0.247  0.836  0.374

Its volume is 9.29 Å³ per atom. The calculation puts the energy relative to the elements at -0.040 eV per atom. Its offset from the most stable computed form is 0.0299 eV per atom. As for the density of states at the Fermi level: 0.74 states/eV/f.u.

No. 2
Computed, not measured: a geometry-optimized PaVAg structure at the PBE level of DFT.

a b c (Å): 10.172 3.027 8.847
angles (deg): 90.00 120.65 90.00
Space group C2/m (No. 12)
Symmetry-distinct sites (fractional):
Pa  0.219  0.000  0.304
V  0.021  0.000  0.387
Ag  0.109  0.500  0.931

Its volume is 19.53 Å³ per atom. The calculation puts the energy relative to the elements at 0.247 eV per atom. As for the density of states at the Fermi level: 4.39 states/eV/f.u.

No. 3
Computed, not measured: a geometry-optimized Na2ZnPt structure at the PBE level of DFT.

a b c (Å): 2.944 3.927 8.000
angles (deg): 90.00 90.00 90.00
Space group Pmm2 (No. 25)
Symmetry-distinct sites (fractional):
Na  0.000  0.000  0.000
Na  0.500  0.500  0.372
Zn  0.000  0.000  0.645
Pt  0.500  0.500  0.738

Its volume is 23.12 Å³ per atom. The calculation puts the energy relative to the elements at -0.210 eV per atom. As for the density of states at the Fermi level: 1.07 states/eV/f.u.

No. 4
Computed, not measured: a geometry-optimized Ac2GaCu4Sn3 structure at the PBE level of DFT.

a b c (Å): 4.553 4.553 10.691
angles (deg): 90.00 90.00 90.00
Space group P-4m2 (No. 115)
Symmetry-distinct sites (fractional):
Ac  0.000  0.500  0.247
Ga  0.000  0.000  0.500
Cu  0.000  0.000  0.000
Cu  0.000  0.500  0.626
Cu  0.500  0.500  0.000
Sn  0.000  0.500  0.872
Sn  0.500  0.500  0.500

Its volume is 22.17 Å³ per atom. The calculation puts the energy relative to the elements at -0.441 eV per atom. As for the density of states at the Fermi level: 4.65 states/eV/f.u.

No. 5
Computed, not measured: a geometry-optimized KYTm4Se8 structure at the PBE level of DFT.

a b c (Å): 8.4790 8.4790 20.9714
angles (deg): 90.00 90.00 120.00
Space group R3m (No. 160, hexagonal axes)
Symmetry-distinct sites (fractional):
K  0.0000  0.0000  0.0000
Y  0.0000  0.0000  0.3676
Tm  0.0000  0.0000  0.7475
Tm  0.0129  0.5064  0.8745
Se  0.0000  0.0000  0.1392
Se  0.0000  0.0000  0.6153
Se  0.0185  0.5093  0.1260
Se  0.1861  0.3722  0.9495

Its volume is 31.09 Å³ per atom. For the uncorrected formation energy, the calculation gives -1731 meV per atom. As for the density of states at the Fermi level: 0.00 states/eV/f.u.

No. 6
Computed, not measured: a geometry-optimized In2C2I structure at the PBE level of DFT.

a b c (Å): 8.407 8.407 3.935
angles (deg): 90.00 90.00 90.00
Space group P4/mbm (No. 127)
Symmetry-distinct sites (fractional):
In  0.157  0.343  0.000
C  0.054  0.554  0.500
I  0.000  0.000  0.000

Its volume is 27.81 Å³ per atom. Its offset from the most stable computed form is 0.0000 eV per atom. For the uncorrected formation energy, the calculation gives 881 meV per atom. As for the density of states at the Fermi level: 3.36 states/eV/f.u.

No. 7
Computed, not measured: a geometry-optimized AlTcTe2N structure at the PBE level of DFT.

a b c (Å): 5.515 5.515 3.448
angles (deg): 90.00 90.00 90.00
Space group P4/mmm (No. 123)
Symmetry-distinct sites (fractional):
Al  0.000  0.000  0.000
Tc  0.500  0.500  0.500
Te  0.000  0.500  0.000
N  0.000  0.000  0.500

Its volume is 20.98 Å³ per atom. Its offset from the most stable computed form is 0.4420 eV per atom. For the uncorrected formation energy, the calculation gives 721 meV per atom. As for the density of states at the Fermi level: 4.50 states/eV/f.u.

No. 8
Computed, not measured: a geometry-optimized SrBeNb3 structure at the PBE level of DFT.

a b c (Å): 4.715 4.715 4.715
angles (deg): 90.00 90.00 90.00
Space group Pm-3m (No. 221)
Symmetry-distinct sites (fractional):
Sr  0.000  0.000  0.000
Be  0.500  0.500  0.500
Nb  0.000  0.500  0.500

Its volume is 20.96 Å³ per atom. The calculation puts the energy relative to the elements at 0.917 eV per atom. Its offset from the most stable computed form is 0.0000 eV per atom. As for the density of states at the Fermi level: 9.45 states/eV/f.u.

No. 9
Computed, not measured: a geometry-optimized Ag2Te2Cl structure at the PBE level of DFT.

a b c (Å): 4.373 4.373 14.262
angles (deg): 90.00 90.00 90.00
Space group I4/mmm (No. 139)
Symmetry-distinct sites (fractional):
Ag  0.000  0.000  0.099
Te  0.000  0.500  0.250
Cl  0.000  0.000  0.500

Its volume is 27.27 Å³ per atom. Its offset from the most stable computed form is 0.2846 eV per atom. For the uncorrected formation energy, the calculation gives 119 meV per atom. As for the density of states at the Fermi level: 2.60 states/eV/f.u.

No. 10
Computed, not measured: a geometry-optimized Na2In3Pt structure at the PBE level of DFT.

a b c (Å): 6.1019 6.1019 8.8717
angles (deg): 90.00 90.00 120.00
Space group P6_3/mmc (No. 194)
Symmetry-distinct sites (fractional):
Na  0.3333  0.6667  0.0605
In  0.1670  0.3340  0.7500
Pt  0.0000  0.0000  0.0000

Its volume is 23.84 Å³ per atom. The calculation puts the energy relative to the elements at -0.261 eV per atom. As for the density of states at the Fermi level: 4.40 states/eV/f.u.

No. 11
Computed, not measured: a geometry-optimized Sm2AsBr3 structure at the PBE level of DFT.

a b c (Å): 17.395 4.440 12.944
angles (deg): 90.00 123.93 90.00
Space group C2/m (No. 12)
Symmetry-distinct sites (fractional):
Sm  0.106  0.000  0.454
Sm  0.137  0.500  0.823
As  0.093  0.000  0.666
Br  0.058  0.500  0.263
Br  0.160  0.000  0.011
Br  0.237  0.500  0.602

Its volume is 34.56 Å³ per atom. For the uncorrected formation energy, the calculation gives -1630 meV per atom.

No. 12
Computed, not measured: a geometry-optimized TlC3 structure at the PBE level of DFT.

a b c (Å): 3.807 7.575 4.098
angles (deg): 90.00 90.00 90.00
Space group Cmmm (No. 65)
Symmetry-distinct sites (fractional):
Tl  0.000  0.000  0.000
C  0.000  0.500  0.000
C  0.250  0.250  0.500

Its volume is 14.77 Å³ per atom. The calculation puts the energy relative to the elements at 3.685 eV per atom. Its offset from the most stable computed form is 2.9050 eV per atom. As for the density of states at the Fermi level: 2.89 states/eV/f.u.

No. 13
Computed, not measured: a geometry-optimized Mn4PC structure at the PBE level of DFT.

a b c (Å): 5.082 5.051 5.476
angles (deg): 90.00 101.08 90.00
Space group P2_1/c (No. 14)
Symmetry-distinct sites (fractional):
Mn  0.119  0.173  0.202
Mn  0.347  0.630  0.117
P  0.500  0.000  0.000
C  0.000  0.000  0.500

Its volume is 11.50 Å³ per atom. The calculation puts the energy relative to the elements at -0.075 eV per atom. As for the density of states at the Fermi level: 4.47 states/eV/f.u.